Record 1
# YTl2In GGA-PBE optimized geometry
# DOS at the Fermi energy: 2.560 states/eV/f.u.
# ΔH_f (0 K): -85 meV per atom
# total DFT energy (no corrections): -57.11 eV per cell
data_YTl2In
_chemical_formula_sum 'Y4 Tl8 In4'
_symmetry_space_group_name_H-M 'F -4 3 m'
_symmetry_Int_Tables_number 216
_symmetry_space_group_name_Hall 'F -4 2 3'
_cell_length_a 7.6918
_cell_length_b 7.6918
_cell_length_c 7.6918
_cell_angle_alpha 90.00
_cell_angle_beta 90.00
_cell_angle_gamma 90.00
loop_
_atom_site_label
_atom_site_fract_x
_atom_site_fract_y
_atom_site_fract_z
Y1 0.0000 0.0000 0.0000
Tl1 0.0000 0.0000 0.5000
Tl2 0.2500 0.2500 0.7500
In1 0.2500 0.2500 0.2500

---

Record 2
# BeAl2Hg GGA-PBE optimized geometry
# DOS at the Fermi energy: 0.806 states/eV/f.u.
# ΔH_f (0 K): 278 meV per atom
# total DFT energy (no corrections): -20.80 eV per cell
# energy above the lowest structure with this stoichiometry: 0.06 eV/f.u.
data_BeAl2Hg
_chemical_formula_sum 'Be2 Al4 Hg2'
_symmetry_space_group_name_H-M 'C 1 m 1'
_symmetry_Int_Tables_number 8
_symmetry_space_group_name_Hall 'C -2y'
_cell_length_a 8.4017
_cell_length_b 3.0920
_cell_length_c 5.3801
_cell_angle_alpha 90.00
_cell_angle_beta 104.56
_cell_angle_gamma 90.00
loop_
_atom_site_label
_atom_site_fract_x
_atom_site_fract_y
_atom_site_fract_z
Be1 0.0000 0.0000 0.0000
Al1 0.0028 0.5000 0.4002
Al2 0.2387 0.5000 0.1356
Hg1 0.2716 0.0000 0.6922

---

Record 3
# HfCuAsBr2 GGA-PBE optimized geometry
# DOS at the Fermi energy: 4.202 states/eV/f.u.
# total DFT energy (no corrections): -19.85 eV per cell
# formation energy without anion corrections: 42 kJ per mole of atoms
# energy above the lowest structure with this stoichiometry: 2.11 eV/f.u.
data_HfCuAsBr2
_chemical_formula_sum 'Hf1 Cu1 As1 Br2'
_symmetry_space_group_name_H-M 'P 4/m m m'
_symmetry_Int_Tables_number 123
_symmetry_space_group_name_Hall '-P 4 2'
_cell_length_a 4.7442
_cell_length_b 4.7442
_cell_length_c 5.0545
_cell_angle_alpha 90.00
_cell_angle_beta 90.00
_cell_angle_gamma 90.00
loop_
_atom_site_label
_atom_site_fract_x
_atom_site_fract_y
_atom_site_fract_z
Hf1 0.0000 0.0000 0.0000
Cu1 0.5000 0.5000 0.5000
As1 0.5000 0.5000 0.0000
Br1 0.0000 0.5000 0.5000

---

Record 4
# LiSi GGA-PBE optimized geometry
# DOS at the Fermi energy: 0.215 states/eV/f.u.
# total DFT energy (no corrections): -44.69 eV per cell
# formation energy without anion corrections: -5 kJ per mole of atoms
data_LiSi
_chemical_formula_sum 'Li6 Si6'
_symmetry_space_group_name_H-M 'C 1 m 1'
_symmetry_Int_Tables_number 8
_symmetry_space_group_name_Hall 'C -2y'
_cell_length_a 9.9290
_cell_length_b 2.7601
_cell_length_c 6.5691
_cell_angle_alpha 90.00
_cell_angle_beta 104.82
_cell_angle_gamma 90.00
loop_
_atom_site_label
_atom_site_fract_x
_atom_site_fract_y
_atom_site_fract_z
Li1 0.0000 0.0000 0.0000
Li2 0.0484 0.0000 0.6348
Li3 0.1673 0.5000 0.3544
Si1 0.2381 0.5000 0.9815
Si2 0.3227 0.0000 0.6725
Si3 0.3844 0.0000 0.2974

---

Record 5
# Zr3W GGA-PBE optimized geometry
# DOS at the Fermi energy: 4.122 states/eV/f.u.
# ΔH_f (0 K): 237 meV per atom
# total DFT energy (no corrections): -75.30 eV per cell
# energy above the lowest structure with this stoichiometry: 0.56 eV/f.u.
data_Zr3W
_chemical_formula_sum 'Zr6 W2'
_symmetry_space_group_name_H-M 'P m m n'
_symmetry_Int_Tables_number 59
_cell_length_a 4.8333
_cell_length_b 6.0801
_cell_length_c 5.7965
_cell_angle_alpha 90.00
_cell_angle_beta 90.00
_cell_angle_gamma 90.00
loop_
_symmetry_equiv_pos_as_xyz
'x,y,z'
'-x,-y,-z'
'-x+1/2,-y+1/2,z'
'x+1/2,y+1/2,-z'
'x+1/2,-y,-z'
'-x+1/2,y,z'
'-x,y+1/2,-z'
'x,-y+1/2,z'
loop_
_atom_site_label
_atom_site_fract_x
_atom_site_fract_y
_atom_site_fract_z
Zr1 0.2500 0.0027 0.1556
Zr2 0.2500 0.2500 0.6106
W1 0.2500 0.7500 0.6918

---

Record 6
# Y2AlGa4Au3 GGA-PBE optimized geometry
# DOS at the Fermi energy: 4.757 states/eV/f.u.
# ΔH_f (0 K): -598 meV per atom
# total DFT energy (no corrections): -44.59 eV per cell
data_Y2AlGa4Au3
_chemical_formula_sum 'Y2 Al1 Ga4 Au3'
_symmetry_space_group_name_H-M 'P -4 m 2'
_symmetry_Int_Tables_number 115
_symmetry_space_group_name_Hall 'P -4 -2'
_cell_length_a 4.1547
_cell_length_b 4.1547
_cell_length_c 11.4262
_cell_angle_alpha 90.00
_cell_angle_beta 90.00
_cell_angle_gamma 90.00
loop_
_atom_site_label
_atom_site_fract_x
_atom_site_fract_y
_atom_site_fract_z
Y1 0.0000 0.5000 0.2415
Al1 0.5000 0.5000 0.0000
Ga1 0.0000 0.0000 0.5000
Ga2 0.0000 0.5000 0.8587
Ga3 0.5000 0.5000 0.5000
Au1 0.0000 0.0000 0.0000
Au2 0.0000 0.5000 0.6410

---

Record 7
# Re3Te GGA-PBE optimized geometry
# DOS at the Fermi energy: 2.092 states/eV/f.u.
# total DFT energy (no corrections): -37.43 eV per cell
# formation energy without anion corrections: 74 kJ per mole of atoms
# energy above the lowest structure with this stoichiometry: 0.92 eV/f.u.
data_Re3Te
_chemical_formula_sum 'Re3 Te1'
_symmetry_space_group_name_H-M 'P 4/m m m'
_symmetry_Int_Tables_number 123
_symmetry_space_group_name_Hall '-P 4 2'
_cell_length_a 4.6158
_cell_length_b 4.6158
_cell_length_c 3.0826
_cell_angle_alpha 90.00
_cell_angle_beta 90.00
_cell_angle_gamma 90.00
loop_
_atom_site_label
_atom_site_fract_x
_atom_site_fract_y
_atom_site_fract_z
Re1 0.0000 0.0000 0.0000
Re2 0.0000 0.5000 0.5000
Te1 0.5000 0.5000 0.0000

---

Record 8
# Te2WI GGA-PBE optimized geometry
# DOS at the Fermi energy: 1.065 states/eV/f.u.
# total DFT energy (no corrections): -74.71 eV per cell
# formation energy without anion corrections: 51 kJ per mole of atoms
# energy above the lowest structure with this stoichiometry: 1.58 eV/f.u.
data_Te2WI
_chemical_formula_sum 'Te8 W4 I4'
_symmetry_space_group_name_H-M 'I -4 2 d'
_symmetry_Int_Tables_number 122
_symmetry_space_group_name_Hall 'I -4 2bw'
_cell_length_a 7.5323
_cell_length_b 7.5323
_cell_length_c 10.8185
_cell_angle_alpha 90.00
_cell_angle_beta 90.00
_cell_angle_gamma 90.00
loop_
_atom_site_label
_atom_site_fract_x
_atom_site_fract_y
_atom_site_fract_z
Te1 0.1479 0.2500 0.1250
W1 0.0000 0.0000 0.0000
I1 0.0000 0.0000 0.5000

---

Record 9
# UV2Mo GGA-PBE optimized geometry
# DOS at the Fermi energy: 6.772 states/eV/f.u.
# ΔH_f (0 K): 214 meV per atom
# total DFT energy (no corrections): -39.50 eV per cell
# energy above the lowest structure with this stoichiometry: 0.27 eV/f.u.
data_UV2Mo
_chemical_formula_sum 'U1 V2 Mo1'
_symmetry_space_group_name_H-M 'P 4/m m m'
_symmetry_Int_Tables_number 123
_symmetry_space_group_name_Hall '-P 4 2'
_cell_length_a 3.1866
_cell_length_b 3.1866
_cell_length_c 6.2383
_cell_angle_alpha 90.00
_cell_angle_beta 90.00
_cell_angle_gamma 90.00
loop_
_atom_site_label
_atom_site_fract_x
_atom_site_fract_y
_atom_site_fract_z
U1 0.0000 0.0000 0.0000
V1 0.5000 0.5000 0.2547
Mo1 0.0000 0.0000 0.5000

---

Record 10
# ThPN3 GGA-PBE optimized geometry
# total DFT energy (no corrections): -85.28 eV per cell
# formation energy without anion corrections: -93 kJ per mole of atoms
data_ThPN3
_chemical_formula_sum 'Th2 P2 N6'
_symmetry_space_group_name_H-M 'P 1 21/m 1'
_symmetry_Int_Tables_number 11
_symmetry_space_group_name_Hall '-P 2yb'
_cell_length_a 4.1447
_cell_length_b 5.4866
_cell_length_c 6.6148
_cell_angle_alpha 90.00
_cell_angle_beta 106.70
_cell_angle_gamma 90.00
loop_
_atom_site_label
_atom_site_fract_x
_atom_site_fract_y
_atom_site_fract_z
Th1 0.1189 0.2500 0.2871
P1 0.5001 0.2500 0.7710
N1 0.1289 0.7500 0.0833
N2 0.3354 0.0039 0.6651

---

Record 11
# NaBRh GGA-PBE optimized geometry
# DOS at the Fermi energy: 0.957 states/eV/f.u.
# ΔH_f (0 K): -186 meV per atom
# total DFT energy (no corrections): -31.81 eV per cell
data_NaBRh
_chemical_formula_sum 'Na2 B2 Rh2'
_symmetry_space_group_name_H-M 'P -1'
_symmetry_Int_Tables_number 2
_symmetry_space_group_name_Hall '-P 1'
_cell_length_a 4.1869
_cell_length_b 4.2557
_cell_length_c 5.7319
_cell_angle_alpha 107.18
_cell_angle_beta 106.74
_cell_angle_gamma 101.65
loop_
_atom_site_label
_atom_site_fract_x
_atom_site_fract_y
_atom_site_fract_z
Na1 0.0000 0.0000 0.0000
Na2 0.5000 0.5000 0.0000
B1 0.1758 0.1650 0.5002
Rh1 0.2901 0.7076 0.4999

---

Record 12
# Th2CuPd2 GGA-PBE optimized geometry
# DOS at the Fermi energy: 4.325 states/eV/f.u.
# ΔH_f (0 K): -567 meV per atom
# total DFT energy (no corrections): -128.62 eV per cell
data_Th2CuPd2
_chemical_formula_sum 'Th8 Cu4 Pd8'
_symmetry_space_group_name_H-M 'P 4/m n c'
_symmetry_Int_Tables_number 128
_symmetry_space_group_name_Hall '-P 4 2n'
_cell_length_a 7.6727
_cell_length_b 7.6727
_cell_length_c 7.7976
_cell_angle_alpha 90.00
_cell_angle_beta 90.00
_cell_angle_gamma 90.00
loop_
_atom_site_label
_atom_site_fract_x
_atom_site_fract_y
_atom_site_fract_z
Th1 0.1732 0.3212 0.0000
Cu1 0.0000 0.0000 0.1973
Pd1 0.1302 0.6302 0.2500

---

Which of these has the highest total DFT energy (no corrections)? HfCuAsBr2

---

Among the records above, which one has the highest total DFT energy (no corrections)? HfCuAsBr2

---

The lowest total DFT energy (no corrections) belongs to which entry? Th2CuPd2

---

Look up the total DFT energy (no corrections) of the twelfth one. -128.62 eV per cell